(1)
First-principles (PBE-GGA) data for a relaxed YReRu2 crystal, as listed in Alexandria via LeMat-Bulk.

a = 6.452 Å, b = 6.452 Å, c = 6.452 Å
α = 90.00°, β = 90.00°, γ = 90.00°
Fractional coordinates of all 16 atoms:
Y (0.000, 0.000, 0.000)
Y (0.000, 0.500, 0.500)
Y (0.500, 0.000, 0.500)
Y (0.500, 0.500, 0.000)
Re (0.000, 0.000, 0.500)
Re (0.000, 0.500, 0.000)
Re (0.500, 0.000, 0.000)
Re (0.500, 0.500, 0.500)
Ru (0.250, 0.250, 0.250)
Ru (0.250, 0.250, 0.750)
Ru (0.250, 0.750, 0.250)
Ru (0.250, 0.750, 0.750)
Ru (0.750, 0.250, 0.250)
Ru (0.750, 0.250, 0.750)
Ru (0.750, 0.750, 0.250)
Ru (0.750, 0.750, 0.750)

- formation energy from the elements (eV per atom) = 0.221
- DFT total energy (eV/atom) = -9.15
- calculated volume (Å³/f.u.) = 67.2
- spin magnetization (μB per atom) = 0.115
- energy above the lowest structure with this stoichiometry (meV per atom) = 170
- density (g/cm³) = 11.80

(2)
First-principles (PBE-GGA) data for a relaxed YReRu2 crystal, as listed in Alexandria via LeMat-Bulk.

a = 2.937 Å, b = 4.612 Å, c = 10.075 Å
α = 90.00°, β = 90.00°, γ = 90.00°
Fractional coordinates of all 8 atoms:
Y (0.000, 0.000, 0.000)
Y (0.500, 0.500, 0.500)
Re (0.000, 0.500, 0.218)
Re (0.500, 0.000, 0.718)
Ru (0.000, 0.000, 0.501)
Ru (0.000, 0.500, 0.776)
Ru (0.500, 0.000, 0.276)
Ru (0.500, 0.500, 0.001)

- formation energy from the elements (eV per atom) = 0.219
- DFT total energy (eV/atom) = -9.15
- calculated volume (Å³/f.u.) = 68.2
- spin magnetization (μB per atom) = 0.000
- energy above the lowest structure with this stoichiometry (meV per atom) = 168
- density (g/cm³) = 11.61

(3)
First-principles (PBE-GGA) data for a relaxed YRe2Ru crystal, as listed in Alexandria via LeMat-Bulk.

a = 4.666 Å, b = 4.666 Å, c = 3.108 Å
α = 90.00°, β = 90.00°, γ = 90.00°
Fractional coordinates of all 4 atoms:
Y (0.000, 0.000, 0.000)
Re (0.000, 0.500, 0.500)
Re (0.500, 0.000, 0.500)
Ru (0.500, 0.500, 0.000)

- formation energy from the elements (eV per atom) = 0.572
- DFT total energy (eV/atom) = -9.59
- calculated volume (Å³/f.u.) = 67.7
- spin magnetization (μB per atom) = 0.000
- energy above the lowest structure with this stoichiometry (meV per atom) = 418
- density (g/cm³) = 13.80

(4)
First-principles (PBE-GGA) data for a relaxed YRe2Ru crystal, as listed in Alexandria via LeMat-Bulk.

a = 2.832 Å, b = 4.734 Å, c = 5.135 Å
α = 90.00°, β = 100.94°, γ = 90.00°
Fractional coordinates of all 4 atoms:
Y (0.000, 0.000, 0.000)
Re (0.260, 0.500, 0.744)
Re (0.740, 0.500, 0.256)
Ru (0.500, 0.000, 0.500)

- formation energy from the elements (eV per atom) = 0.394
- DFT total energy (eV/atom) = -9.76
- calculated volume (Å³/f.u.) = 67.6
- spin magnetization (μB per atom) = 0.000
- energy above the lowest structure with this stoichiometry (meV per atom) = 240
- density (g/cm³) = 13.82

(5)
First-principles (PBE-GGA) data for a relaxed YReRu2 crystal, as listed in Alexandria via LeMat-Bulk.

a = 9.896 Å, b = 2.949 Å, c = 4.848 Å
α = 90.00°, β = 104.34°, γ = 90.00°
Fractional coordinates of all 8 atoms:
Y (0.000, 0.000, 0.000)
Y (0.500, 0.500, 0.000)
Re (0.277, 0.500, 0.337)
Re (0.777, 0.000, 0.337)
Ru (0.001, 0.500, 0.492)
Ru (0.231, 0.000, 0.750)
Ru (0.501, 0.000, 0.492)
Ru (0.731, 0.500, 0.750)

- formation energy from the elements (eV per atom) = 0.196
- DFT total energy (eV/atom) = -9.17
- calculated volume (Å³/f.u.) = 68.5
- spin magnetization (μB per atom) = 0.000
- energy above the lowest structure with this stoichiometry (meV per atom) = 146
- density (g/cm³) = 11.56

(6)
First-principles (PBE-GGA) data for a relaxed YReRu2 crystal, as listed in Alexandria via LeMat-Bulk.

a = 6.456 Å, b = 6.456 Å, c = 6.456 Å
α = 90.00°, β = 90.00°, γ = 90.00°
Fractional coordinates of all 16 atoms:
Y (0.000, 0.000, 0.000)
Y (0.000, 0.500, 0.500)
Y (0.500, 0.000, 0.500)
Y (0.500, 0.500, 0.000)
Re (0.250, 0.250, 0.250)
Re (0.250, 0.750, 0.750)
Re (0.750, 0.250, 0.750)
Re (0.750, 0.750, 0.250)
Ru (0.000, 0.000, 0.500)
Ru (0.000, 0.500, 0.000)
Ru (0.250, 0.250, 0.750)
Ru (0.250, 0.750, 0.250)
Ru (0.500, 0.000, 0.000)
Ru (0.500, 0.500, 0.500)
Ru (0.750, 0.250, 0.250)
Ru (0.750, 0.750, 0.750)

- formation energy from the elements (eV per atom) = 0.400
- DFT total energy (eV/atom) = -8.97
- calculated volume (Å³/f.u.) = 67.3
- spin magnetization (μB per atom) = 0.422
- energy above the lowest structure with this stoichiometry (meV per atom) = 350
- density (g/cm³) = 11.78

(7)
First-principles (PBE-GGA) data for a relaxed Y2ReRu2 crystal, as listed in Alexandria via LeMat-Bulk.

a = 6.602 Å, b = 6.602 Å, c = 4.613 Å
α = 90.00°, β = 90.00°, γ = 90.00°
Fractional coordinates of all 10 atoms:
Y (0.179, 0.321, 0.000)
Y (0.321, 0.821, 0.000)
Y (0.679, 0.179, 0.000)
Y (0.821, 0.679, 0.000)
Re (0.000, 0.000, 0.500)
Re (0.500, 0.500, 0.500)
Ru (0.142, 0.642, 0.500)
Ru (0.358, 0.142, 0.500)
Ru (0.642, 0.858, 0.500)
Ru (0.858, 0.358, 0.500)

- formation energy from the elements (eV per atom) = -0.122
- DFT total energy (eV/atom) = -8.91
- calculated volume (Å³/f.u.) = 100.5
- spin magnetization (μB per atom) = 0.000
- density (g/cm³) = 9.35

(8)
First-principles (PBE-GGA) data for a relaxed YRe2Ru crystal, as listed in Alexandria via LeMat-Bulk.

a = 10.386 Å, b = 2.940 Å, c = 4.716 Å
α = 90.00°, β = 106.41°, γ = 90.00°
Fractional coordinates of all 8 atoms:
Y (0.000, 0.000, 0.000)
Y (0.500, 0.500, 0.000)
Re (0.224, 0.000, 0.710)
Re (0.276, 0.500, 0.290)
Re (0.724, 0.500, 0.710)
Re (0.776, 0.000, 0.290)
Ru (0.000, 0.500, 0.500)
Ru (0.500, 0.000, 0.500)

- formation energy from the elements (eV per atom) = 0.233
- DFT total energy (eV/atom) = -9.93
- calculated volume (Å³/f.u.) = 69.1
- spin magnetization (μB per atom) = 0.000
- energy above the lowest structure with this stoichiometry (meV per atom) = 79
- density (g/cm³) = 13.52

(9)
First-principles (PBE-GGA) data for a relaxed YReRu crystal, as listed in Alexandria via LeMat-Bulk.

a = 6.283 Å, b = 6.283 Å, c = 6.283 Å
α = 90.00°, β = 90.00°, γ = 90.00°
Fractional coordinates of all 12 atoms:
Y (0.000, 0.000, 0.000)
Y (0.000, 0.500, 0.500)
Y (0.500, 0.000, 0.500)
Y (0.500, 0.500, 0.000)
Re (0.250, 0.250, 0.750)
Re (0.250, 0.750, 0.250)
Re (0.750, 0.250, 0.250)
Re (0.750, 0.750, 0.750)
Ru (0.000, 0.000, 0.500)
Ru (0.000, 0.500, 0.000)
Ru (0.500, 0.000, 0.000)
Ru (0.500, 0.500, 0.500)

- formation energy from the elements (eV per atom) = 0.588
- DFT total energy (eV/atom) = -8.81
- calculated volume (Å³/f.u.) = 62.0
- spin magnetization (μB per atom) = 0.000
- energy above the lowest structure with this stoichiometry (meV per atom) = 846
- density (g/cm³) = 10.07

(10)
First-principles (PBE-GGA) data for a relaxed YReRu crystal, as listed in Alexandria via LeMat-Bulk.

a = 5.153 Å, b = 5.692 Å, c = 7.544 Å
α = 90.00°, β = 90.00°, γ = 90.00°
Fractional coordinates of all 12 atoms:
Y (0.000, 0.250, 0.123)
Y (0.000, 0.750, 0.877)
Y (0.500, 0.250, 0.377)
Y (0.500, 0.750, 0.623)
Re (0.250, 0.250, 0.750)
Re (0.250, 0.750, 0.250)
Re (0.750, 0.250, 0.750)
Re (0.750, 0.750, 0.250)
Ru (0.000, 0.000, 0.500)
Ru (0.000, 0.500, 0.500)
Ru (0.500, 0.000, 0.000)
Ru (0.500, 0.500, 0.000)

- formation energy from the elements (eV per atom) = -0.258
- DFT total energy (eV/atom) = -9.65
- calculated volume (Å³/f.u.) = 55.3
- spin magnetization (μB per atom) = 0.000
- energy above the lowest structure with this stoichiometry (meV per atom) = 0
- density (g/cm³) = 11.29

(11)
First-principles (PBE-GGA) data for a relaxed YRe2Ru crystal, as listed in Alexandria via LeMat-Bulk.

a = 9.719 Å, b = 3.121 Å, c = 5.037 Å
α = 90.00°, β = 109.74°, γ = 90.00°
Fractional coordinates of all 8 atoms:
Y (0.000, 0.000, 0.000)
Y (0.500, 0.500, 0.000)
Re (0.281, 0.500, 0.322)
Re (0.498, 0.000, 0.498)
Re (0.781, 0.000, 0.322)
Re (0.998, 0.500, 0.498)
Ru (0.225, 0.000, 0.702)
Ru (0.725, 0.500, 0.702)

- formation energy from the elements (eV per atom) = 0.291
- DFT total energy (eV/atom) = -9.87
- calculated volume (Å³/f.u.) = 71.9
- spin magnetization (μB per atom) = 0.000
- energy above the lowest structure with this stoichiometry (meV per atom) = 136
- density (g/cm³) = 12.99

(12)
First-principles (PBE-GGA) data for a relaxed YReRu crystal, as listed in Alexandria via LeMat-Bulk.

a = 4.124 Å, b = 4.124 Å, c = 4.435 Å
α = 90.00°, β = 90.00°, γ = 120.00°
Fractional coordinates of all 3 atoms:
Y (0.000, 0.000, 0.000)
Re (0.333, 0.667, 0.476)
Ru (0.667, 0.333, 0.525)

- formation energy from the elements (eV per atom) = 0.083
- DFT total energy (eV/atom) = -9.31
- calculated volume (Å³/f.u.) = 65.3
- spin magnetization (μB per atom) = 0.000
- energy above the lowest structure with this stoichiometry (meV per atom) = 341
- density (g/cm³) = 9.56

(13)
First-principles (PBE-GGA) data for a relaxed YReRu2 crystal, as listed in Alexandria via LeMat-Bulk.

a = 3.282 Å, b = 4.848 Å, c = 8.831 Å
α = 90.00°, β = 90.00°, γ = 90.00°
Fractional coordinates of all 8 atoms:
Y (0.000, 0.000, 0.000)
Y (0.500, 0.500, 0.500)
Re (0.000, 0.000, 0.500)
Re (0.500, 0.500, 0.000)
Ru (0.000, 0.500, 0.218)
Ru (0.000, 0.500, 0.782)
Ru (0.500, 0.000, 0.282)
Ru (0.500, 0.000, 0.718)

- formation energy from the elements (eV per atom) = 0.261
- DFT total energy (eV/atom) = -9.11
- calculated volume (Å³/f.u.) = 70.2
- spin magnetization (μB per atom) = 0.000
- energy above the lowest structure with this stoichiometry (meV per atom) = 210
- density (g/cm³) = 11.28

(14)
First-principles (PBE-GGA) data for a relaxed YRe2Ru crystal, as listed in Alexandria via LeMat-Bulk.

a = 2.820 Å, b = 2.820 Å, c = 8.580 Å
α = 90.00°, β = 90.00°, γ = 90.00°
Fractional coordinates of all 4 atoms:
Y (0.000, 0.000, 0.000)
Re (0.500, 0.500, 0.286)
Re (0.500, 0.500, 0.714)
Ru (0.000, 0.000, 0.500)

- formation energy from the elements (eV per atom) = 0.306
- DFT total energy (eV/atom) = -9.85
- calculated volume (Å³/f.u.) = 68.2
- spin magnetization (μB per atom) = 0.000
- energy above the lowest structure with this stoichiometry (meV per atom) = 151
- density (g/cm³) = 13.69

(15)
First-principles (PBE-GGA) data for a relaxed YReRu crystal, as listed in Alexandria via LeMat-Bulk.

a = 2.907 Å, b = 2.907 Å, c = 7.335 Å
α = 90.00°, β = 90.00°, γ = 120.00°
Fractional coordinates of all 3 atoms:
Y (0.000, 0.000, 0.000)
Re (0.667, 0.333, 0.368)
Ru (0.333, 0.667, 0.641)

- formation energy from the elements (eV per atom) = 0.496
- DFT total energy (eV/atom) = -8.90
- calculated volume (Å³/f.u.) = 53.7
- spin magnetization (μB per atom) = 0.000
- energy above the lowest structure with this stoichiometry (meV per atom) = 754
- density (g/cm³) = 11.64

(16)
First-principles (PBE-GGA) data for a relaxed YReRu2 crystal, as listed in Alexandria via LeMat-Bulk.

a = 2.845 Å, b = 2.845 Å, c = 28.611 Å
α = 90.00°, β = 90.00°, γ = 120.00°
Fractional coordinates of all 12 atoms:
Y (0.000, 0.000, 0.000)
Y (0.333, 0.667, 0.667)
Y (0.667, 0.333, 0.333)
Re (0.000, 0.000, 0.239)
Re (0.333, 0.667, 0.905)
Re (0.667, 0.333, 0.572)
Ru (0.000, 0.000, 0.499)
Ru (0.000, 0.000, 0.757)
Ru (0.333, 0.667, 0.165)
Ru (0.333, 0.667, 0.424)
Ru (0.667, 0.333, 0.091)
Ru (0.667, 0.333, 0.832)

- formation energy from the elements (eV per atom) = 0.478
- DFT total energy (eV/atom) = -8.89
- calculated volume (Å³/f.u.) = 66.9
- spin magnetization (μB per atom) = 0.000
- energy above the lowest structure with this stoichiometry (meV per atom) = 428
- density (g/cm³) = 11.85

(17)
First-principles (PBE-GGA) data for a relaxed YReRu2 crystal, as listed in Alexandria via LeMat-Bulk.

a = 3.191 Å, b = 4.417 Å, c = 4.779 Å
α = 90.00°, β = 90.00°, γ = 90.00°
Fractional coordinates of all 4 atoms:
Y (0.000, 0.000, 0.000)
Re (0.500, 0.000, 0.500)
Ru (0.000, 0.500, 0.500)
Ru (0.500, 0.500, 0.000)

- formation energy from the elements (eV per atom) = 0.370
- DFT total energy (eV/atom) = -9.00
- calculated volume (Å³/f.u.) = 67.4
- spin magnetization (μB per atom) = 0.000
- energy above the lowest structure with this stoichiometry (meV per atom) = 319
- density (g/cm³) = 11.77

(18)
First-principles (PBE-GGA) data for a relaxed YRe2Ru crystal, as listed in Alexandria via LeMat-Bulk.

a = 3.111 Å, b = 3.111 Å, c = 7.259 Å
α = 90.00°, β = 90.00°, γ = 90.00°
Fractional coordinates of all 4 atoms:
Y (0.000, 0.000, 0.000)
Re (0.000, 0.000, 0.497)
Re (0.500, 0.500, 0.301)
Ru (0.500, 0.500, 0.716)

- formation energy from the elements (eV per atom) = 0.155
- DFT total energy (eV/atom) = -10.00
- calculated volume (Å³/f.u.) = 70.3
- spin magnetization (μB per atom) = 0.000
- energy above the lowest structure with this stoichiometry (meV per atom) = 0
- density (g/cm³) = 13.29

(19)
First-principles (PBE-GGA) data for a relaxed YRe2Ru crystal, as listed in Alexandria via LeMat-Bulk.

a = 6.460 Å, b = 6.460 Å, c = 6.460 Å
α = 90.00°, β = 90.00°, γ = 90.00°
Fractional coordinates of all 16 atoms:
Y (0.000, 0.000, 0.000)
Y (0.000, 0.500, 0.500)
Y (0.500, 0.000, 0.500)
Y (0.500, 0.500, 0.000)
Re (0.250, 0.250, 0.250)
Re (0.250, 0.250, 0.750)
Re (0.250, 0.750, 0.250)
Re (0.250, 0.750, 0.750)
Re (0.750, 0.250, 0.250)
Re (0.750, 0.250, 0.750)
Re (0.750, 0.750, 0.250)
Re (0.750, 0.750, 0.750)
Ru (0.000, 0.000, 0.500)
Ru (0.000, 0.500, 0.000)
Ru (0.500, 0.000, 0.000)
Ru (0.500, 0.500, 0.500)

- formation energy from the elements (eV per atom) = 0.589
- DFT total energy (eV/atom) = -9.57
- calculated volume (Å³/f.u.) = 67.4
- spin magnetization (μB per atom) = 0.251
- energy above the lowest structure with this stoichiometry (meV per atom) = 434
- density (g/cm³) = 13.86

(20)
First-principles (PBE-GGA) data for a relaxed YRe2Ru crystal, as listed in Alexandria via LeMat-Bulk.

a = 6.457 Å, b = 6.457 Å, c = 6.457 Å
α = 90.00°, β = 90.00°, γ = 90.00°
Fractional coordinates of all 16 atoms:
Y (0.000, 0.000, 0.000)
Y (0.000, 0.500, 0.500)
Y (0.500, 0.000, 0.500)
Y (0.500, 0.500, 0.000)
Re (0.000, 0.000, 0.500)
Re (0.000, 0.500, 0.000)
Re (0.250, 0.250, 0.750)
Re (0.250, 0.750, 0.250)
Re (0.500, 0.000, 0.000)
Re (0.500, 0.500, 0.500)
Re (0.750, 0.250, 0.250)
Re (0.750, 0.750, 0.750)
Ru (0.250, 0.250, 0.250)
Ru (0.250, 0.750, 0.750)
Ru (0.750, 0.250, 0.750)
Ru (0.750, 0.750, 0.250)

- formation energy from the elements (eV per atom) = 0.256
- DFT total energy (eV/atom) = -9.90
- calculated volume (Å³/f.u.) = 67.3
- spin magnetization (μB per atom) = 0.000
- energy above the lowest structure with this stoichiometry (meV per atom) = 101
- density (g/cm³) = 13.87